! ErHf2F11 (PBE, optimized geometry); values from VASP
&SYSTEM
  ibrav = 0, nat = 28, ntyp = 3
/
ATOMIC_SPECIES
F 19.00 F.upf
Hf 178.49 Hf.upf
Er 167.26 Er.upf
ATOMIC_POSITIONS crystal
F 0.372 0.717 0.283
F 0.961 0.819 0.460
F 0.260 0.319 0.960
Hf 0.638 0.682 0.318
F 0.363 0.291 0.442
Er 0.250 0.250 0.250
Hf 0.862 0.182 0.818
F 0.596 0.209 0.058
F 0.000 0.000 0.000
F 0.628 0.283 0.717
F 0.760 0.460 0.819
F 0.904 0.442 0.291
F 0.240 0.540 0.181
Hf 0.362 0.318 0.682
F 0.096 0.558 0.709
F 0.461 0.960 0.319
F 0.637 0.709 0.558
Er 0.750 0.750 0.750
Hf 0.138 0.818 0.182
F 0.863 0.942 0.791
F 0.740 0.681 0.040
F 0.039 0.181 0.540
F 0.128 0.217 0.783
F 0.500 0.500 0.500
F 0.137 0.058 0.209
F 0.404 0.791 0.942
F 0.872 0.783 0.217
F 0.539 0.040 0.681
CELL_PARAMETERS angstrom
-3.777 4.815 -4.720
-6.894 -2.698 -3.562
-6.099 4.510 3.154
! * space group: Ibam, No. 72
! * E_form (uncorrected): -3.928 eV per atom
! * E: -7.15 eV/atom
! * spin magnetization: 0.00 Bohr magnetons per cell